Record 1
{
  "formula": "Cu3Re2",
  "functional": "PBE",
  "state": "optimized geometry",
  "cell": [[2.103, -3.643, 0.000], [2.103, 3.643, 0.000], [0.000, 0.000, 5.087]],
  "species": ["Cu", "Cu", "Re", "Re", "Cu"],
  "frac_coords": [[0.333, 0.667, 0.397], [0.667, 0.333, 0.603], [0.333, 0.667, 0.895], [0.667, 0.333, 0.105], [0.000, 0.000, 0.000]],
  "formation_enthalpy_0k_ev_per_fu": 3.0,
  "polymorph_energy_ev_per_atom": 0.286,
  "final_energy_ev_per_atom": -6.83,
  "total_magnetization_mub_per_cell": 0.00,
  "mass_density_g_cm3": 11.995
}

Record 2
{
  "formula": "YAg",
  "functional": "PBE",
  "state": "optimized geometry",
  "cell": [[4.213, 0.000, 0.000], [-2.107, 3.649, 0.000], [0.000, 0.000, 7.108]],
  "species": ["Ag", "Ag", "Y", "Y"],
  "frac_coords": [[0.000, 0.000, 0.000], [0.000, 0.000, 0.500], [0.333, 0.667, 0.250], [0.667, 0.333, 0.750]],
  "formation_enthalpy_0k_ev_per_fu": -0.2,
  "final_energy_ev_per_atom": -4.75,
  "total_magnetization_mub_per_cell": 0.00,
  "mass_density_g_cm3": 5.980
}

Record 3
{
  "formula": "K3Np5Br12",
  "functional": "PBE",
  "state": "optimized geometry",
  "cell": [[-2.947, 8.247, -13.269], [-13.566, -2.210, 7.988], [10.247, 8.070, 9.089]],
  "species": ["Br", "Br", "Br", "Br", "Np", "K", "K", "Br", "Np", "Br", "K", "Br", "Br", "Np", "Br", "Np", "Br", "Br", "Br", "Br", "Np", "Br", "Np", "Br", "Np", "Br", "Br", "K", "Np", "Br", "K", "Br", "Br", "Br", "K", "K", "Np", "Br", "Br", "Br", "Np", "Np", "Br", "Br", "Br", "Br", "Np", "Br", "Br", "Br", "Br", "Np", "Br", "Np", "Br", "K", "Br", "Br", "Br", "Br", "Br", "Np", "Br", "K", "K", "Np", "K", "Br", "Np", "Br", "Br", "Br", "Br", "Np", "Br", "Br", "Np", "Np", "Br", "K"],
  "frac_coords": [[0.327, 0.540, 0.417], [0.460, 0.787, 0.877], [0.377, 0.417, 0.090], [0.713, 0.590, 0.173], [0.500, 0.000, 0.000], [0.875, 0.750, 0.125], [0.250, 0.625, 0.875], [0.287, 0.410, 0.827], [0.375, 0.250, 0.125], [0.540, 0.213, 0.123], [0.375, 0.750, 0.625], [0.827, 0.910, 0.287], [0.213, 0.540, 0.623], [0.000, 0.500, 0.000], [0.583, 0.960, 0.673], [0.875, 0.625, 0.750], [0.173, 0.090, 0.713], [0.410, 0.123, 0.583], [0.123, 0.713, 0.540], [0.327, 0.787, 0.410], [0.500, 0.500, 0.000], [0.583, 0.623, 0.410], [0.250, 0.375, 0.625], [0.040, 0.417, 0.827], [0.125, 0.750, 0.375], [0.910, 0.083, 0.623], [0.213, 0.673, 0.090], [0.375, 0.625, 0.250], [0.875, 0.250, 0.625], [0.410, 0.287, 0.327], [0.125, 0.250, 0.875], [0.090, 0.173, 0.213], [0.623, 0.583, 0.910], [0.787, 0.460, 0.377], [0.625, 0.375, 0.750], [0.750, 0.375, 0.125], [0.750, 0.125, 0.875], [0.040, 0.623, 0.713], [0.960, 0.377, 0.287], [0.673, 0.460, 0.583], [0.250, 0.875, 0.125], [0.000, 0.500, 0.500], [0.417, 0.377, 0.590], [0.917, 0.827, 0.540], [0.083, 0.910, 0.123], [0.123, 0.410, 0.083], [0.500, 0.000, 0.500], [0.917, 0.090, 0.877], [0.090, 0.917, 0.377], [0.083, 0.173, 0.460], [0.787, 0.327, 0.910], [0.625, 0.750, 0.875], [0.590, 0.713, 0.673], [0.625, 0.875, 0.250], [0.377, 0.960, 0.787], [0.875, 0.125, 0.250], [0.910, 0.827, 0.787], [0.417, 0.040, 0.327], [0.827, 0.917, 0.040], [0.960, 0.583, 0.173], [0.540, 0.327, 0.917], [0.500, 0.500, 0.500], [0.460, 0.673, 0.083], [0.750, 0.875, 0.625], [0.250, 0.125, 0.375], [0.375, 0.125, 0.750], [0.625, 0.250, 0.375], [0.877, 0.287, 0.460], [0.000, 0.000, 0.000], [0.590, 0.877, 0.417], [0.877, 0.590, 0.917], [0.713, 0.123, 0.040], [0.673, 0.213, 0.590], [0.000, 0.000, 0.500], [0.287, 0.877, 0.960], [0.173, 0.083, 0.960], [0.750, 0.625, 0.375], [0.125, 0.375, 0.250], [0.623, 0.040, 0.213], [0.125, 0.875, 0.750]],
  "e_form_raw_ev_per_atom": -0.97,
  "final_energy_ev_per_atom": -5.37,
  "total_magnetization_mub_per_cell": 103.06,
  "mass_density_g_cm3": 4.856
}

Record 4
{
  "formula": "Er2Tm3In7",
  "functional": "PBE",
  "state": "optimized geometry",
  "cell": [[-0.669, 3.894, 2.264], [-3.952, 0.822, -2.581], [-6.340, -7.861, 11.650]],
  "species": ["In", "In", "In", "Tm", "Er", "Er", "In", "In", "In", "Tm", "Tm", "In"],
  "frac_coords": [[0.000, 0.423, 0.847], [0.000, 0.275, 0.550], [0.500, 0.078, 0.156], [0.500, 0.354, 0.708], [0.000, 0.840, 0.679], [0.000, 0.160, 0.321], [0.000, 0.725, 0.450], [0.000, 0.000, 0.000], [0.000, 0.577, 0.153], [0.500, 0.500, 0.000], [0.500, 0.646, 0.292], [0.500, 0.922, 0.844]],
  "formation_enthalpy_0k_ev_per_fu": -2.4,
  "final_energy_ev_per_atom": -3.67,
  "total_magnetization_mub_per_cell": 0.81,
  "mass_density_g_cm3": 8.220
}

Record 5
{
  "formula": "K2PaSnS5",
  "functional": "PBE",
  "state": "optimized geometry",
  "cell": [[4.247, 0.000, 0.000], [-2.123, 8.636, 0.000], [0.000, 0.000, 14.439]],
  "species": ["S", "S", "S", "K", "K", "Sn", "S", "S", "Pa", "S", "K", "Sn", "K", "S", "Pa", "S", "S", "S"],
  "frac_coords": [[0.635, 0.269, 0.498], [0.365, 0.731, 0.998], [0.306, 0.612, 0.410], [0.095, 0.189, 0.676], [0.905, 0.811, 0.176], [0.527, 0.053, 0.946], [0.064, 0.127, 0.043], [0.722, 0.444, 0.139], [0.779, 0.559, 0.524], [0.278, 0.556, 0.639], [0.139, 0.279, 0.304], [0.473, 0.947, 0.446], [0.861, 0.721, 0.804], [0.496, 0.992, 0.785], [0.221, 0.441, 0.024], [0.694, 0.388, 0.910], [0.504, 0.008, 0.285], [0.936, 0.873, 0.543]],
  "e_form_raw_ev_per_atom": -1.15,
  "final_energy_ev_per_atom": -5.19,
  "total_magnetization_mub_per_cell": 0.00,
  "mass_density_g_cm3": 3.689
}

Record 6
{
  "formula": "Dy3Zn2Ga",
  "functional": "PBE",
  "state": "optimized geometry",
  "cell": [[5.045, 0.000, 0.000], [-2.522, 4.369, 0.000], [0.000, 0.000, 6.200]],
  "species": ["Ga", "Dy", "Zn", "Dy", "Dy", "Zn"],
  "frac_coords": [[0.000, 0.000, 0.000], [0.333, 0.667, 0.166], [0.667, 0.333, 0.345], [0.000, 0.000, 0.500], [0.667, 0.333, 0.834], [0.333, 0.667, 0.655]],
  "formation_enthalpy_0k_ev_per_fu": -2.6,
  "polymorph_energy_ev_per_atom": 0.000,
  "final_energy_ev_per_atom": -3.66,
  "total_magnetization_mub_per_cell": 0.00,
  "mass_density_g_cm3": 8.361
}

Record 7
{
  "formula": "CuIrS2",
  "functional": "PBE",
  "state": "optimized geometry",
  "cell": [[5.425, 0.000, 0.000], [0.000, 5.425, 0.000], [2.712, 2.712, 4.943]],
  "species": ["S", "Cu", "Ir", "S", "Cu", "S", "S", "Ir"],
  "frac_coords": [[0.627, 0.125, 0.250], [0.250, 0.750, 0.500], [0.750, 0.250, 0.500], [0.875, 0.877, 0.750], [0.500, 0.500, 0.000], [0.375, 0.373, 0.750], [0.123, 0.625, 0.250], [0.000, 0.000, 0.000]],
  "e_form_raw_ev_per_atom": -0.07,
  "final_energy_ev_per_atom": -5.38,
  "total_magnetization_mub_per_cell": 0.00,
  "mass_density_g_cm3": 7.302
}

Record 8
{
  "formula": "SmEuTc4",
  "functional": "PBE",
  "state": "optimized geometry",
  "cell": [[5.458, 0.000, 0.000], [2.729, 4.727, 0.000], [2.729, 1.576, 4.456]],
  "species": ["Tc", "Eu", "Tc", "Tc", "Sm", "Tc"],
  "frac_coords": [[0.625, 0.625, 0.125], [0.000, 0.000, 0.000], [0.625, 0.125, 0.625], [0.125, 0.625, 0.625], [0.250, 0.250, 0.250], [0.625, 0.625, 0.625]],
  "formation_enthalpy_0k_ev_per_fu": 0.6,
  "final_energy_ev_per_atom": -9.30,
  "total_magnetization_mub_per_cell": 6.76,
  "mass_density_g_cm3": 10.029
}

Record 9
{
  "formula": "BeAg2Pt",
  "functional": "PBE",
  "state": "optimized geometry",
  "cell": [[4.701, 0.033, 0.006], [1.207, 4.544, 0.006], [-2.950, -2.285, 2.834]],
  "species": ["Be", "Pt", "Ag", "Ag"],
  "frac_coords": [[0.499, 0.501, 0.000], [0.750, 0.250, 0.500], [0.000, 0.000, 0.000], [0.250, 0.750, 0.500]],
  "formation_enthalpy_0k_ev_per_fu": 0.2,
  "final_energy_ev_per_atom": -3.82,
  "total_magnetization_mub_per_cell": 0.00,
  "mass_density_g_cm3": 11.510
}

Record 10
{
  "formula": "Dy2Pd8Pt",
  "functional": "PBE",
  "state": "optimized geometry",
  "cell": [[4.227, 0.000, 0.000], [0.000, 6.524, 0.208], [-2.114, -2.478, 6.799]],
  "species": ["Pd", "Pd", "Pd", "Pd", "Pd", "Pd", "Dy", "Pt", "Dy", "Pd", "Pd"],
  "frac_coords": [[0.965, 0.272, 0.930], [0.668, 0.898, 0.337], [0.592, 0.438, 0.184], [0.332, 0.102, 0.663], [0.408, 0.562, 0.816], [0.035, 0.728, 0.070], [0.216, 0.666, 0.432], [0.500, 0.000, 0.000], [0.784, 0.334, 0.568], [0.859, 0.822, 0.717], [0.141, 0.178, 0.283]],
  "formation_enthalpy_0k_ev_per_fu": -5.7,
  "polymorph_energy_ev_per_atom": 0.000,
  "final_energy_ev_per_atom": -5.68,
  "total_magnetization_mub_per_cell": 0.00,
  "mass_density_g_cm3": 12.005
}

Record 11
{
  "formula": "LiBS2N",
  "functional": "PBE",
  "state": "optimized geometry",
  "cell": [[5.101, 0.000, 0.000], [0.000, 5.101, 0.000], [0.000, 0.000, 2.679]],
  "species": ["B", "Li", "S", "N", "S"],
  "frac_coords": [[0.000, 0.000, 0.000], [0.500, 0.500, 0.500], [0.000, 0.500, 0.000], [0.000, 0.000, 0.500], [0.500, 0.000, 0.000]],
  "e_form_raw_ev_per_atom": 0.03,
  "polymorph_energy_ev_per_atom": 0.000,
  "final_energy_ev_per_atom": -5.00,
  "total_magnetization_mub_per_cell": 0.47,
  "mass_density_g_cm3": 2.284
}